Material: TbHo7Er3
Method: DFT, PBE
State: optimized geometry

Summary:
E_form   3.01 eV per formula unit

POSCAR file:
```
TbHo7Er3
1.0
-2.8639 5.5313 5.5313
2.8639 -5.5313 5.5313
2.8639 5.5313 -5.5313
Tb Ho Er
1 7 3
Cartesian
0.0000 0.0000 0.0000
2.8639 0.0000 0.0000
2.8639 3.3063 -2.2066
0.0000 3.2369 0.0000
2.8639 3.3063 2.2066
0.0000 2.2250 3.3247
0.0000 7.8256 0.0000
0.0000 2.2250 7.7380
2.8639 0.0000 3.2499
0.0000 0.0000 5.5313
0.0000 5.5313 2.2815
```

---

Material: Zn2AgWI
Method: DFT, PBE
State: optimized geometry

Summary:
Formation energy without anion corrections   1.89 eV/atom

POSCAR file:
```
Zn2AgWI
1.0
5.2536 0.0000 0.0000
0.0000 5.2536 0.0000
0.0000 0.0000 5.0908
Zn Ag W I
2 1 1 1
Cartesian
0.0000 2.6268 0.0000
2.6268 0.0000 0.0000
0.0000 0.0000 2.5454
2.6268 2.6268 2.5454
2.6268 2.6268 0.0000
```

---

Material: NpPdPbAu
Method: DFT, PBE
State: optimized geometry

Summary:
E_form   -0.50 eV per formula unit

POSCAR file:
```
NpPdPbAu
1.0
0.0000 3.5358 3.5358
3.5358 0.0000 3.5358
3.5358 3.5358 0.0000
Np Pd Pb Au
1 1 1 1
Cartesian
0.0000 0.0000 0.0000
5.3037 5.3037 5.3037
3.5358 3.5358 3.5358
1.7679 1.7679 1.7679
```

---

Material: YSbPt2Cl
Method: DFT, PBE
State: optimized geometry

Summary:
Formation energy without anion corrections   0.00 eV/atom

POSCAR file:
```
YSbPt2Cl
1.0
4.6904 0.0000 0.0000
0.0000 4.6904 0.0000
0.0000 0.0000 5.0347
Y Sb Pt Cl
1 1 2 1
Cartesian
0.0000 0.0000 0.0000
2.3452 2.3452 0.0000
0.0000 2.3452 2.5174
2.3452 0.0000 2.5174
0.0000 0.0000 2.5174
```

---

Material: AlBi3Te
Method: DFT, PBE
State: optimized geometry

Summary:
Formation energy without anion corrections   0.86 eV/atom

POSCAR file:
```
AlBi3Te
1.0
5.9049 0.0000 0.0000
0.0000 5.9049 0.0000
0.0000 0.0000 5.9049
Al Bi Te
1 3 1
Cartesian
0.0000 0.0000 0.0000
0.0000 2.9524 2.9524
2.9524 0.0000 2.9524
2.9524 2.9524 0.0000
2.9524 2.9524 2.9524
```

---

Material: Y2HoIn3Te6
Method: DFT, PBE
State: optimized geometry

Summary:
Formation energy without anion corrections   -0.98 eV/atom

POSCAR file:
```
Y2HoIn3Te6
1.0
3.8180 -6.6115 0.0000
3.8180 6.6115 0.0000
-2.5468 0.0000 8.1118
Y Ho In Te
2 1 3 6
Cartesian
3.8180 4.4088 0.0000
3.8180 -4.4088 0.0000
3.8180 0.0000 0.0000
-1.2734 0.0000 4.0559
2.5446 2.2079 4.0559
2.5446 -2.2079 4.0559
0.0044 2.1947 6.3371
1.2833 0.0000 1.7777
0.0044 -2.1947 6.3371
5.0847 2.1947 1.7747
3.8058 0.0000 6.3341
5.0847 -2.1947 1.7747
```

---

no.,total moment (μB/f.u.)
1,0.3
2,2.5
3,3.9
4,0.0
5,0.0
6,0.0